Entry 1:
Material: ScAs2Pb
Method: DFT, PBE
State: relaxed

Results
Energy relative to the elements: -0.504 eV per atom
DOS at the Fermi energy: 1.8 states/eV/f.u.
M_tot: 0.00 μB per formula unit

```
ScAs2Pb
1.0
4.038 0.000 0.000
2.019 3.497 0.000
2.019 1.166 7.049
As Pb Sc
2 1 1
direct
0.264 0.264 0.208
0.069 0.069 0.792
0.499 0.499 0.503
0.668 0.668 0.996
```


Entry 2:
Material: ScAs2Pb
Method: DFT, PBE
State: relaxed

Results
Energy relative to the elements: -0.349 eV per atom
DOS at the Fermi energy: 3.7 states/eV/f.u.
M_tot: 0.00 μB per formula unit

```
ScAs2Pb
1.0
-1.282 -5.979 -1.357
5.914 -0.840 -1.885
3.997 -5.142 4.426
Sc As Pb
2 4 2
direct
0.250 0.750 0.500
0.500 0.500 0.000
0.155 0.625 0.250
0.875 0.845 0.750
0.595 0.125 0.250
0.375 0.405 0.750
0.000 0.000 0.000
0.750 0.250 0.500
```


Entry 3:
Material: ScAs2Pb
Method: DFT, PBE
State: relaxed

Results
Energy relative to the elements: -0.306 eV per atom
DOS at the Fermi energy: 1.8 states/eV/f.u.
M_tot: 0.00 μB per formula unit

```
ScAs2Pb
1.0
-3.452 -0.783 -3.365
-3.192 -1.120 3.535
-1.015 3.563 0.212
Pb Sc As
1 1 2
direct
0.500 0.000 0.500
0.000 0.500 0.500
0.500 0.500 0.000
0.000 0.000 0.000
```


Entry 4:
Material: ScAs2Pb
Method: DFT, PBE
State: relaxed

Results
Energy relative to the elements: -0.466 eV per atom
DOS at the Fermi energy: 2.1 states/eV/f.u.
M_tot: 0.00 μB per formula unit

```
ScAs2Pb
1.0
6.975 0.021 -0.134
5.951 3.637 -0.134
0.136 0.039 3.969
Pb Sc As
1 1 2
direct
0.472 0.472 0.394
0.714 0.714 0.859
0.258 0.258 0.353
0.057 0.057 0.894
```


Entry 5:
Material: ScAs2Pb
Method: DFT, PBE
State: relaxed

Results
Energy relative to the elements: -0.551 eV per atom
DOS at the Fermi energy: 2.3 states/eV/f.u.
M_tot: 0.00 μB per formula unit

```
ScAs2Pb
1.0
-3.948 -6.105 -1.016
-0.514 -7.287 0.720
-3.477 -5.744 2.965
Pb Sc As
1 1 2
direct
0.250 0.250 0.250
0.750 0.750 0.750
0.013 0.013 0.013
0.487 0.487 0.487
```


Entry 6:
Material: ScAs2Pb
Method: DFT, PBE
State: relaxed

Results
Energy relative to the elements: -0.456 eV per atom
DOS at the Fermi energy: 1.8 states/eV/f.u.
M_tot: 0.00 μB per formula unit

```
ScAs2Pb
1.0
7.197 0.081 -0.014
5.116 5.062 0.014
-6.134 -2.625 2.698
Sc As Pb
1 2 1
direct
0.784 0.284 0.500
0.936 0.936 0.000
0.236 0.736 0.500
0.543 0.543 0.000
```